## CaCr2N2 (PBE-GGA)

Data for crystalline CaCr2N2 at its relaxed geometry.

Geometry as POSCAR:
```
CaCr2N2
1.0
-1.5423 -1.7207 2.2054
-1.9170 -1.1838 -2.2642
4.6511 -5.5183 -1.0529
Ca Cr N
1 2 2
Direct
0.5000 0.5000 0.0000
0.0000 0.0000 0.6535
0.0000 0.0000 0.3465
0.0000 0.5000 0.2288
0.5000 0.0000 0.7712
```

For the total energy, the calculation gives -7.696 eV per atom. As for the density of states at the Fermi level: 0.4662 states/eV/atom. Its symmetry is P-4m2, No. 115.